LiLuHgTe3: optimized geometry, PBE-GGA.

Computed properties:
energy relative to the lowest polymorph listed for this composition	0	meV/atom
magnetic moment	0.00	μB/f.u.
energy	-3.4583	eV per atom

Cell lengths 7.583, 7.583, 11.486 Å; angles 90.00, 90.00, 147.37 degrees
Element x y z (fractional)
Li: 0.199 0.801 0.750
Li: 0.801 0.199 0.250
Lu: 0.000 0.000 0.000
Lu: 0.000 0.000 0.500
Hg: 0.476 0.524 0.250
Hg: 0.524 0.476 0.750
Te: 0.104 0.896 0.250
Te: 0.356 0.644 0.057
Te: 0.356 0.644 0.443
Te: 0.644 0.356 0.557
Te: 0.644 0.356 0.943
Te: 0.896 0.104 0.750